# 1
DFT (PBE) results for an optimized crystal structure of PuThSi4.

Structure (POSCAR):
```
PuThSi4
1.0
-3.257 -4.153 -0.854
0.588 -3.001 -4.385
1.870 -4.992 0.408
Si Th Pu
4 1 1
Direct
0.627 0.627 0.118 Si
0.627 0.118 0.627 Si
0.627 0.627 0.627 Si
0.118 0.627 0.627 Si
0.250 0.250 0.250 Th
0.000 0.000 0.000 Pu
```

Values from the calculation:
SG	F-43m, No. 216
mass density	9.0	g cm⁻³
final energy	-7.61	eV/atom
energy relative to the lowest polymorph listed for this composition	0.0	meV/atom

# 2
DFT (PBE) results for an optimized crystal structure of PuTh2Si2.

Structure (POSCAR):
```
PuTh2Si2
1.0
4.191 0.000 0.000
0.000 7.675 0.000
0.000 0.000 7.675
Pu Th Si
2 4 4
Direct
0.000 0.000 0.000 Pu
0.000 0.500 0.500 Pu
0.500 0.182 0.682 Th
0.500 0.682 0.818 Th
0.500 0.818 0.318 Th
0.500 0.318 0.182 Th
0.000 0.387 0.887 Si
0.000 0.887 0.613 Si
0.000 0.613 0.113 Si
0.000 0.113 0.387 Si
```

Values from the calculation:
SG	P4/mbm, No. 127
mass density	10.3	g cm⁻³
final energy	-8.56	eV/atom

# 3
DFT (PBE) results for an optimized crystal structure of Pu3Th2Si4.

Structure (POSCAR):
```
Pu3Th2Si4
1.0
7.415 -0.059 0.000
-2.493 7.353 0.000
0.000 0.000 7.690
Pu Th Si
6 4 8
Direct
0.000 0.500 0.500 Pu
0.500 0.500 0.000 Pu
0.745 0.254 0.807 Pu
0.755 0.746 0.307 Pu
0.255 0.746 0.193 Pu
0.245 0.254 0.693 Pu
0.570 0.191 0.327 Th
0.930 0.809 0.827 Th
0.430 0.809 0.673 Th
0.070 0.191 0.173 Th
0.865 0.066 0.530 Si
0.635 0.934 0.030 Si
0.135 0.934 0.470 Si
0.365 0.066 0.970 Si
0.878 0.484 0.114 Si
0.622 0.516 0.614 Si
0.122 0.516 0.886 Si
0.378 0.484 0.386 Si
```

Values from the calculation:
SG	P2_1/c, No. 14
mass density	10.4	g cm⁻³
final energy	-9.35	eV/atom

# 4
DFT (PBE) results for an optimized crystal structure of PuThSi3.

Structure (POSCAR):
```
PuThSi3
1.0
4.191 0.000 -0.577
0.000 4.000 0.000
-0.407 0.000 12.553
Pu Th Si
2 2 6
Direct
0.204 0.750 0.408 Pu
0.796 0.250 0.592 Pu
0.929 0.750 0.858 Th
0.071 0.250 0.142 Th
0.620 0.750 0.241 Si
0.380 0.250 0.759 Si
0.525 0.750 0.050 Si
0.475 0.250 0.950 Si
0.675 0.250 0.350 Si
0.325 0.750 0.650 Si
```

Values from the calculation:
SG	Cmcm, No. 63
mass density	8.9	g cm⁻³
final energy	-8.17	eV/atom

| no. | formation energy (no corrections) (eV per atom) | magnetic moment (μB per cell) |
| --- | --- | --- |
| 1 | -0.37 | 5.563 |
| 2 | -0.56 | 12.957 |
| 3 | -0.52 | 34.518 |
| 4 | -0.57 | 11.477 |